Record 1
Computed, not measured: a relaxed CeAlZn crystal at the PBE level of DFT.

Cell and atoms, written as CIF:
```
data_CeAlZn
_cell_length_a 5.415
_cell_length_b 5.684
_cell_length_c 7.881
_cell_angle_alpha 90.00
_cell_angle_beta 90.00
_cell_angle_gamma 90.00
_space_group_name_H-M_alt 'I m m a'
_space_group_IT_number 74
_space_group_name_Hall '-I 2b 2'
loop_
_atom_site_label
_atom_site_type_symbol
_atom_site_fract_x
_atom_site_fract_y
_atom_site_fract_z
Ce1 Ce 0.000 0.250 0.142
Al1 Al 0.000 0.000 0.500
Zn1 Zn 0.250 0.250 0.750
```

## Properties
* DOS(E_F): 22.21 states/eV per cell
* total magnetic moment: 3.246 μB per cell
* energy: -4.021 eV per atom
* calculated formation energy: -0.37 eV/atom

Record 2
Computed, not measured: a relaxed CeAlZn2 crystal at the PBE level of DFT.

Cell and atoms, written as CIF:
```
data_CeAlZn2
_cell_length_a 6.659
_cell_length_b 4.583
_cell_length_c 10.362
_cell_angle_alpha 90.00
_cell_angle_beta 90.00
_cell_angle_gamma 90.00
_space_group_name_H-M_alt 'A m m 2'
_space_group_IT_number 38
loop_
_space_group_symop_operation_xyz
'x,y,z'
'-x,-y,z'
'-x,y,z'
'x,-y,z'
'x,y+1/2,z+1/2'
'-x,-y+1/2,z+1/2'
'-x,y+1/2,z+1/2'
'x,-y+1/2,z+1/2'
loop_
_atom_site_label
_atom_site_type_symbol
_atom_site_fract_x
_atom_site_fract_y
_atom_site_fract_z
Ce1 Ce 0.000 0.000 0.000
Ce2 Ce 0.500 0.000 0.200
Al1 Al 0.196 0.000 0.715
Zn1 Zn 0.000 0.000 0.298
Zn2 Zn 0.309 0.000 0.477
Zn3 Zn 0.500 0.000 0.898
```

## Properties
* DOS(E_F): 24.60 states/eV per cell
* total magnetic moment: 3.661 μB per cell
* energy: -3.356 eV per atom
* calculated formation energy: -0.30 eV/atom

Record 3
Computed, not measured: a relaxed CeAl11Zn crystal at the PBE level of DFT.

Cell and atoms, written as CIF:
```
data_CeAl11Zn
_cell_length_a 5.409
_cell_length_b 12.906
_cell_length_c 7.031
_cell_angle_alpha 90.00
_cell_angle_beta 111.18
_cell_angle_gamma 90.00
_space_group_name_H-M_alt 'C 1 2/m 1'
_space_group_IT_number 12
loop_
_space_group_symop_operation_xyz
'x,y,z'
'-x,-y,-z'
'-x,y,-z'
'x,-y,z'
'x+1/2,y+1/2,z'
'-x+1/2,-y+1/2,-z'
'-x+1/2,y+1/2,-z'
'x+1/2,-y+1/2,z'
loop_
_atom_site_label
_atom_site_type_symbol
_atom_site_fract_x
_atom_site_fract_y
_atom_site_fract_z
Ce1 Ce 0.000 0.000 0.000
Al1 Al 0.000 0.000 0.500
Al2 Al 0.107 0.392 0.219
Al3 Al 0.168 0.178 0.354
Al4 Al 0.250 0.250 0.000
Zn1 Zn 0.000 0.500 0.500
```

## Properties
* DOS(E_F): 13.90 states/eV per cell
* total magnetic moment: 0.006 μB per cell
* energy: -3.834 eV per atom
* calculated formation energy: -0.11 eV/atom

Record 4
Computed, not measured: a relaxed CeAl2Zn crystal at the PBE level of DFT.

Cell and atoms, written as CIF:
```
data_CeAl2Zn
_cell_length_a 5.708
_cell_length_b 9.716
_cell_length_c 2.953
_cell_angle_alpha 90.00
_cell_angle_beta 90.00
_cell_angle_gamma 90.00
_space_group_name_H-M_alt 'C m m m'
_space_group_IT_number 65
_space_group_name_Hall '-C 2 2'
loop_
_atom_site_label
_atom_site_type_symbol
_atom_site_fract_x
_atom_site_fract_y
_atom_site_fract_z
Ce1 Ce 0.000 0.000 0.000
Al1 Al 0.250 0.250 0.500
Zn1 Zn 0.000 0.500 0.500
```

## Properties
* DOS(E_F): 8.59 states/eV per cell
* total magnetic moment: 1.469 μB per cell
* energy: -3.857 eV per atom
* calculated formation energy: -0.18 eV/atom

Record 5
Computed, not measured: a relaxed Ce3Al2Zn4 crystal at the PBE level of DFT.

Cell and atoms, written as CIF:
```
data_Ce3Al2Zn4
_cell_length_a 10.534
_cell_length_b 4.646
_cell_length_c 8.730
_cell_angle_alpha 90.00
_cell_angle_beta 117.47
_cell_angle_gamma 90.00
_space_group_name_H-M_alt 'C 1 2/m 1'
_space_group_IT_number 12
loop_
_space_group_symop_operation_xyz
'x,y,z'
'-x,-y,-z'
'-x,y,-z'
'x,-y,z'
'x+1/2,y+1/2,z'
'-x+1/2,-y+1/2,-z'
'-x+1/2,y+1/2,-z'
'x+1/2,-y+1/2,z'
loop_
_atom_site_label
_atom_site_type_symbol
_atom_site_fract_x
_atom_site_fract_y
_atom_site_fract_z
Ce1 Ce 0.000 0.000 0.000
Ce2 Ce 0.167 0.500 0.672
Al1 Al 0.112 0.500 0.280
Zn1 Zn 0.075 0.000 0.410
Zn2 Zn 0.204 0.500 0.038
```

## Properties
* DOS(E_F): 30.54 states/eV per cell
* total magnetic moment: 4.695 μB per cell
* energy: -3.696 eV per atom
* calculated formation energy: -0.32 eV/atom

Record 6
Computed, not measured: a relaxed Ce2Al8Zn crystal at the PBE level of DFT.

Cell and atoms, written as CIF:
```
data_Ce2Al8Zn
_cell_length_a 4.384
_cell_length_b 4.384
_cell_length_c 11.298
_cell_angle_alpha 90.00
_cell_angle_beta 90.00
_cell_angle_gamma 90.00
_space_group_name_H-M_alt 'P 4/m m m'
_space_group_IT_number 123
_space_group_name_Hall '-P 4 2'
loop_
_atom_site_label
_atom_site_type_symbol
_atom_site_fract_x
_atom_site_fract_y
_atom_site_fract_z
Ce1 Ce 0.000 0.000 0.190
Al1 Al 0.000 0.500 0.000
Al2 Al 0.000 0.500 0.373
Al3 Al 0.500 0.500 0.193
Zn1 Zn 0.000 0.000 0.500
```

## Properties
* DOS(E_F): 10.14 states/eV per cell
* total magnetic moment: 0.000 μB per cell
* energy: -4.153 eV per atom
* calculated formation energy: -0.24 eV/atom

Record 7
Computed, not measured: a relaxed CeAl2Zn3 crystal at the PBE level of DFT.

Cell and atoms, written as CIF:
```
data_CeAl2Zn3
_cell_length_a 15.752
_cell_length_b 4.503
_cell_length_c 7.332
_cell_angle_alpha 90.00
_cell_angle_beta 117.70
_cell_angle_gamma 90.00
_space_group_name_H-M_alt 'C 1 2/m 1'
_space_group_IT_number 12
loop_
_space_group_symop_operation_xyz
'x,y,z'
'-x,-y,-z'
'-x,y,-z'
'x,-y,z'
'x+1/2,y+1/2,z'
'-x+1/2,-y+1/2,-z'
'-x+1/2,y+1/2,-z'
'x+1/2,-y+1/2,z'
loop_
_atom_site_label
_atom_site_type_symbol
_atom_site_fract_x
_atom_site_fract_y
_atom_site_fract_z
Ce1 Ce 0.136 0.000 0.135
Al1 Al 0.000 0.500 0.173
Al2 Al 0.182 0.000 0.682
Zn1 Zn 0.000 0.000 0.335
Zn2 Zn 0.174 0.500 0.471
Zn3 Zn 0.174 0.500 0.876
```

## Properties
* DOS(E_F): 24.36 states/eV per cell
* total magnetic moment: 2.866 μB per cell
* energy: -3.095 eV per atom
* calculated formation energy: -0.22 eV/atom

Record 8
Computed, not measured: a relaxed Ce6Al2Zn crystal at the PBE level of DFT.

Cell and atoms, written as CIF:
```
data_Ce6Al2Zn
_cell_length_a 8.8204
_cell_length_b 8.8204
_cell_length_c 3.2657
_cell_angle_alpha 90.00
_cell_angle_beta 90.00
_cell_angle_gamma 120.00
_space_group_name_H-M_alt 'P -6 2 m'
_space_group_IT_number 189
_space_group_name_Hall 'P -6 -2'
loop_
_atom_site_label
_atom_site_type_symbol
_atom_site_fract_x
_atom_site_fract_y
_atom_site_fract_z
Ce1 Ce 0.0000 0.2906 0.0000
Ce2 Ce 0.0000 0.6136 0.5000
Al1 Al 0.3333 0.6667 0.0000
Zn1 Zn 0.0000 0.0000 0.5000
```

## Properties
* ΔE to the lowest computed polymorph: 0.36 eV/f.u.
* DOS(E_F): 24.52 states/eV per cell
* total magnetic moment: 2.746 μB per cell
* energy: -5.064 eV per atom
* calculated formation energy: -0.13 eV/atom

Record 9
Computed, not measured: a relaxed Ce8AlZn2 crystal at the PBE level of DFT.

Cell and atoms, written as CIF:
```
data_Ce8AlZn2
_cell_length_a 5.186
_cell_length_b 7.556
_cell_length_c 7.996
_cell_angle_alpha 66.06
_cell_angle_beta 71.15
_cell_angle_gamma 89.88
_space_group_name_H-M_alt 'P -1'
_space_group_IT_number 2
loop_
_space_group_symop_operation_xyz
'x,y,z'
'-x,-y,-z'
loop_
_atom_site_label
_atom_site_type_symbol
_atom_site_fract_x
_atom_site_fract_y
_atom_site_fract_z
Ce1 Ce 0.006 0.284 0.479
Ce2 Ce 0.144 0.121 0.212
Ce3 Ce 0.335 0.159 0.828
Ce4 Ce 0.373 0.547 0.751
Al1 Al 0.500 0.000 0.500
Zn1 Zn 0.207 0.689 0.088
```

## Properties
* DOS(E_F): 27.81 states/eV per cell
* total magnetic moment: 1.126 μB per cell
* energy: -4.967 eV per atom
* calculated formation energy: -0.08 eV/atom

Record 10
Computed, not measured: a relaxed CeAl2Zn6 crystal at the PBE level of DFT.

Cell and atoms, written as CIF:
```
data_CeAl2Zn6
_cell_length_a 4.138
_cell_length_b 6.736
_cell_length_c 11.921
_cell_angle_alpha 90.00
_cell_angle_beta 90.00
_cell_angle_gamma 90.00
_space_group_name_H-M_alt 'I m m m'
_space_group_IT_number 71
_space_group_name_Hall '-I 2 2'
loop_
_atom_site_label
_atom_site_type_symbol
_atom_site_fract_x
_atom_site_fract_y
_atom_site_fract_z
Ce1 Ce 0.000 0.000 0.000
Al1 Al 0.000 0.500 0.116
Zn1 Zn 0.000 0.179 0.500
Zn2 Zn 0.000 0.305 0.308
```

## Properties
* DOS(E_F): 15.70 states/eV per cell
* total magnetic moment: 1.565 μB per cell
* energy: -2.415 eV per atom
* calculated formation energy: -0.07 eV/atom

Record 11
Computed, not measured: a relaxed Ce6AlZn crystal at the PBE level of DFT.

Cell and atoms, written as CIF:
```
data_Ce6AlZn
_cell_length_a 5.222
_cell_length_b 6.717
_cell_length_c 11.479
_cell_angle_alpha 90.00
_cell_angle_beta 90.00
_cell_angle_gamma 90.00
_space_group_name_H-M_alt 'A m m 2'
_space_group_IT_number 38
loop_
_space_group_symop_operation_xyz
'x,y,z'
'-x,-y,z'
'-x,y,z'
'x,-y,z'
'x,y+1/2,z+1/2'
'-x,-y+1/2,z+1/2'
'-x,y+1/2,z+1/2'
'x,-y+1/2,z+1/2'
loop_
_atom_site_label
_atom_site_type_symbol
_atom_site_fract_x
_atom_site_fract_y
_atom_site_fract_z
Ce1 Ce 0.000 0.000 0.000
Ce2 Ce 0.000 0.242 0.204
Ce3 Ce 0.500 0.000 0.608
Ce4 Ce 0.500 0.245 0.410
Al1 Al 0.000 0.000 0.459
Zn1 Zn 0.500 0.000 0.156
```

## Properties
* DOS(E_F): 45.17 states/eV per cell
* total magnetic moment: 4.575 μB per cell
* energy: -5.176 eV per atom
* calculated formation energy: -0.10 eV/atom